DyHoAlCu: optimized geometry, PBE-GGA.

a b c (Å): 5.0307 5.0307 5.0307
angles (deg): 60.00 60.00 60.00
Last column: nearest neighbours and their distance in Å.
Sites, in units of the cell vectors:
Ho 0.0000 0.0000 0.0000  4 Al 3.08, 4 Cu 3.08
Al 0.7500 0.7500 0.7500  4 Dy 3.08, 4 Ho 3.08
Cu 0.2500 0.2500 0.2500  4 Ho 3.08, 4 Dy 3.08
Dy 0.5000 0.5000 0.5000  4 Al 3.08, 4 Cu 3.08

Summary:
**DOS at the Fermi energy**: 1.019 states/eV per atom
**Excess energy over the best structure of this formula in the dataset**: 37.8 meV per atom
**Energy**: -18.2 eV/cell
**Symmetry**: No. 216
**Calculated formation energy**: -0.2875 eV/atom

DyHoAlCu: optimized geometry, PBE-GGA.

a b c (Å): 3.4613 3.4613 7.3641
angles (deg): 90.00 90.00 90.00
Last column: nearest neighbours and their distance in Å.
Sites, in units of the cell vectors:
Dy 0.0000 0.0000 0.8435  4 Cu 3.02, 4 Al 3.13
Ho 0.0000 0.0000 0.3725  4 Cu 2.98, 4 Al 3.12
Cu 0.5000 0.5000 0.6027  4 Ho 2.98, 4 Dy 3.02
Al 0.5000 0.5000 0.1093  4 Ho 3.12, 4 Dy 3.13, 4 Al 3.46

Summary:
**DOS at the Fermi energy**: 0.708 states/eV per atom
**Excess energy over the best structure of this formula in the dataset**: 0.0 meV per atom
**Energy**: -18.3 eV/cell
**Symmetry**: No. 99
**Calculated formation energy**: -0.3253 eV/atom

Dy2Ho2Al4Cu: optimized geometry, PBE-GGA.

a b c (Å): 6.6378 6.6378 6.6378
angles (deg): 86.98 121.76 121.76
Last column: nearest neighbours and their distance in Å.
Sites, in units of the cell vectors:
Dy 0.5000 0.2500 0.7500  4 Ho 3.24, 8 Al 3.32
Ho 0.0000 0.2742 0.2742  1 Cu 2.64
Ho 0.0000 0.7258 0.7258  1 Cu 2.64
Al 0.5362 0.2681 0.2681  1 Cu 2.45
Cu 0.0000 0.0000 0.0000  4 Al 2.45, 2 Ho 2.64
Al 0.0000 0.7319 0.2681  1 Cu 2.45
Al 0.0000 0.2681 0.7319  1 Cu 2.45
Al 0.4638 0.7319 0.7319  1 Cu 2.45
Dy 0.5000 0.7500 0.2500  4 Ho 3.24, 8 Al 3.32

Summary:
**DOS at the Fermi energy**: 0.819 states/eV per atom
**Energy**: -39.4 eV/cell
**Symmetry**: No. 139
**Calculated formation energy**: -0.2141 eV/atom

Dy2Al4CuIr3: optimized geometry, PBE-GGA.

a b c (Å): 4.0459 4.0459 10.9466
angles (deg): 90.00 90.00 90.00
Last column: nearest neighbours and their distance in Å.
Sites, in units of the cell vectors:
Ir 0.0000 0.0000 0.5000  4 Al 2.47
Cu 0.5000 0.5000 0.5000  4 Al 2.47
Dy 0.0000 0.5000 0.7554  4 Ir 3.08, 8 Al 3.17-3.36
Ir 0.0000 0.5000 0.1409  5 Al 2.51-2.54
Al 0.5000 0.0000 0.6297  3 Ir 2.47-2.51, 2 Cu 2.47
Al 0.5000 0.5000 0.0000  4 Ir 2.54
Al 0.0000 0.0000 0.0000  4 Ir 2.54
Al 0.0000 0.5000 0.3703  3 Ir 2.47-2.51, 2 Cu 2.47
Ir 0.5000 0.0000 0.8591  5 Al 2.51-2.54
Dy 0.5000 0.0000 0.2446  4 Ir 3.08, 8 Al 3.17-3.36

Summary:
**DOS at the Fermi energy**: 0.656 states/eV per atom
**Energy**: -62.5 eV/cell
**Symmetry**: No. 115
**Calculated formation energy**: -0.7630 eV/atom

DyAl4Cu2Ir: optimized geometry, PBE-GGA.

a b c (Å): 4.1832 4.1832 9.1712
angles (deg): 76.82 76.82 60.00
Last column: nearest neighbours and their distance in Å.
Sites, in units of the cell vectors:
Al 0.4039 0.4039 0.7882  3 Cu 2.49, 1 Ir 2.55
Al 0.1314 0.1314 0.6058  3 Ir 2.59, 4 Cu 2.61-2.87
Al 0.8686 0.8686 0.3942  3 Ir 2.59, 4 Cu 2.61-2.87
Ir 0.5000 0.5000 0.5000  8 Al 2.55-2.59
Al 0.5961 0.5961 0.2118  3 Cu 2.49, 1 Ir 2.55
Dy 0.0000 0.0000 0.0000  6 Al 3.06
Cu 0.2394 0.2394 0.2819  6 Al 2.49-2.61
Cu 0.7606 0.7606 0.7181  6 Al 2.49-2.61

Summary:
**DOS at the Fermi energy**: 0.346 states/eV per atom
**Energy**: -40.2 eV/cell
**Symmetry**: No. 166
**Calculated formation energy**: -0.4449 eV/atom

Li2Dy2Al5Cu: optimized geometry, PBE-GGA.

a b c (Å): 3.7822 9.7482 9.7482
angles (deg): 90.00 90.00 90.00
Last column: nearest neighbours and their distance in Å.
Sites, in units of the cell vectors:
Li 0.0000 0.3824 0.1176  6 Al 2.49-2.72, 1 Dy 2.76
Al 0.5000 0.6925 0.4489  2 Cu 2.71, 2 Li 2.72, 2 Al 2.75
Li 0.0000 0.1176 0.6176  6 Al 2.49-2.72, 1 Dy 2.76
Al 0.5000 0.8075 0.9489  2 Cu 2.71, 2 Li 2.72, 2 Al 2.75
Al 0.5000 0.0000 0.5000  4 Li 2.49
Cu 0.0000 0.0000 0.0000  8 Al 2.71
Dy 0.0000 0.6822 0.1822  3 Li 2.76-2.99
Dy 0.0000 0.8178 0.6822  3 Li 2.76-2.99
Li 0.0000 0.6176 0.8824  6 Al 2.49-2.72, 1 Dy 2.76
Dy 0.0000 0.1822 0.3178  3 Li 2.76-2.99
Al 0.5000 0.1925 0.0511  2 Cu 2.71, 2 Li 2.72, 2 Al 2.75
Al 0.5000 0.0511 0.8075  2 Cu 2.71, 2 Li 2.72, 2 Al 2.75
Al 0.5000 0.5511 0.6925  2 Cu 2.71, 2 Li 2.72, 2 Al 2.75
Al 0.5000 0.9489 0.1925  2 Cu 2.71, 2 Li 2.72, 2 Al 2.75
Al 0.5000 0.5000 0.0000  4 Li 2.49
Dy 0.0000 0.3178 0.8178  3 Li 2.76-2.99
Cu 0.0000 0.5000 0.5000  8 Al 2.71
Al 0.5000 0.4489 0.3075  2 Cu 2.71, 2 Li 2.72, 2 Al 2.75
Li 0.0000 0.8824 0.3824  6 Al 2.49-2.72, 1 Dy 2.76
Al 0.5000 0.3075 0.5511  2 Cu 2.71, 2 Li 2.72, 2 Al 2.75

Summary:
**DOS at the Fermi energy**: 0.411 states/eV per atom
**Energy**: -76.3 eV/cell
**Symmetry**: No. 127
**Calculated formation energy**: -0.2325 eV/atom